A plane-wave DFT calculation with PBE was carried out for a geometry-optimized Er2MgAl structure.

Energy above the most stable polymorph in this dataset   13.0 meV/atom

a = 3.6396 Å, b = 3.6396 Å, c = 7.4300 Å
α = 90.00°, β = 90.00°, γ = 90.00°
With the nearest neighbours (Å) after each atom.
Element x y z (fractional)
Er1 0.0000 0.0000 0.2355  4 Al 3.11, 4 Mg 3.24
Er2 0.0000 0.0000 0.7645  4 Al 3.11, 4 Mg 3.24
Mg1 0.5000 0.5000 0.5000  8 Er 3.24
Al1 0.5000 0.5000 0.0000  8 Er 3.11

A plane-wave DFT calculation with PBE was carried out for a geometry-optimized Er8Mg2Al structure.

a = 5.2768 Å, b = 7.0350 Å, c = 9.2017 Å
α = 106.65°, β = 106.66°, γ = 90.00°
With the nearest neighbours (Å) after each atom.
Element x y z (fractional)
Er1 0.0205 0.7706 0.0409  1 Mg 3.12, 2 Al 3.17, 2 Er 3.41
Er2 0.9795 0.2294 0.9591  1 Mg 3.12, 2 Al 3.17, 2 Er 3.41
Er3 0.4049 0.5519 0.8097  1 Al 3.10, 2 Mg 3.32, 3 Er 3.39-3.41
Er4 0.6620 0.9532 0.3240  1 Al 2.97, 3 Mg 3.03-3.28
Er5 0.8098 0.7308 0.6197  3 Mg 3.05-3.38, 2 Er 3.39
Er6 0.3380 0.0468 0.6760  1 Al 2.97, 3 Mg 3.03-3.28
Er7 0.5951 0.4481 0.1903  1 Al 3.10, 2 Mg 3.32, 3 Er 3.39-3.41
Er8 0.1902 0.2692 0.3803  3 Mg 3.05-3.38, 2 Er 3.39
Al1 0.5000 0.0000 0.0000  8 Er 2.97-3.17
Mg1 0.8131 0.2999 0.6261  9 Er 3.03-3.38
Mg2 0.1869 0.7001 0.3739  9 Er 3.03-3.38

A plane-wave DFT calculation with PBE was carried out for a geometry-optimized Er4Mg5Al2 structure.

a = 3.4432 Å, b = 7.9622 Å, c = 10.1100 Å
α = 94.18°, β = 90.00°, γ = 90.00°
With the nearest neighbours (Å) after each atom.
Element x y z (fractional)
Er1 0.5000 0.7347 0.5561  4 Al 3.12, 6 Mg 3.31-3.40, 2 Er 3.44
Er2 0.5000 0.2653 0.4439  4 Al 3.12, 6 Mg 3.31-3.40, 2 Er 3.44
Er3 0.5000 0.8432 0.1243  2 Al 3.09, 8 Mg 3.26-3.39, 2 Er 3.44
Er4 0.5000 0.1568 0.8757  2 Al 3.09, 8 Mg 3.26-3.39, 2 Er 3.44
Mg1 0.0000 0.5000 0.0000  4 Mg 3.03-3.06, 4 Er 3.39
Mg2 0.0000 0.1914 0.1642  1 Al 2.97, 2 Mg 3.06-3.23, 4 Er 3.26-3.33
Mg3 0.0000 0.5716 0.2985  1 Al 3.00, 2 Mg 3.03-3.23, 4 Er 3.31-3.36
Mg4 0.0000 0.4284 0.7015  1 Al 3.00, 2 Mg 3.03-3.23, 4 Er 3.31-3.36
Mg5 0.0000 0.8086 0.8358  1 Al 2.97, 2 Mg 3.06-3.23, 4 Er 3.26-3.33
Al1 0.0000 0.9443 0.3712  1 Al 2.69, 2 Mg 2.97-3.00
Al2 0.0000 0.0557 0.6288  1 Al 2.69, 2 Mg 2.97-3.00

A plane-wave DFT calculation with PBE was carried out for a geometry-optimized ErMg11Al structure.

a = 5.8308 Å, b = 7.6624 Å, c = 7.7621 Å
α = 82.11°, β = 67.94°, γ = 68.57°
With the nearest neighbours (Å) after each atom.
Element x y z (fractional)
Mg1 0.3515 0.6461 0.6538  8 Mg 3.04-3.36, 1 Al 3.07
Mg2 0.9947 0.3539 0.6538  8 Mg 3.04-3.36, 1 Al 3.07
Mg3 0.0053 0.6461 0.3462  8 Mg 3.04-3.36, 1 Al 3.07
Mg4 0.4994 0.7871 0.2080  1 Al 2.90, 7 Mg 2.95-3.25
Mg5 0.0000 0.0000 0.5000  10 Mg 2.92-3.14
Mg6 0.6485 0.3539 0.3462  8 Mg 3.04-3.36, 1 Al 3.07
Mg7 0.5006 0.2129 0.7920  1 Al 2.90, 7 Mg 2.95-3.25
Mg8 0.7075 0.7871 0.7920  1 Al 2.90, 7 Mg 2.95-3.25
Mg9 0.5000 0.0000 0.5000  10 Mg 2.92-3.14
Mg10 0.2925 0.2129 0.2080  1 Al 2.90, 7 Mg 2.95-3.25
Mg11 0.0000 0.5000 0.0000  2 Al 2.92, 8 Mg 2.95-3.06
Er1 0.0000 0.0000 0.0000  18 Mg 3.55-3.88, 2 Al 3.87
Al1 0.5000 0.5000 0.0000  10 Mg 2.90-3.07

A plane-wave DFT calculation with PBE was carried out for a geometry-optimized Er3MgAl8 structure.

a = 5.5290 Å, b = 5.5290 Å, c = 8.8868 Å
α = 90.00°, β = 90.00°, γ = 120.00°
With the nearest neighbours (Å) after each atom.
Element x y z (fractional)
Al1 0.3333 0.6667 0.9971  6 Al 2.75-2.78
Al2 0.1627 0.3254 0.2504  6 Al 2.70-2.83
Al3 0.3333 0.6667 0.5018  6 Al 2.75-2.77
Al4 0.1627 0.8373 0.2504  6 Al 2.70-2.83
Al5 0.5052 0.0104 0.7494  6 Al 2.68-2.85
Al6 0.9896 0.4948 0.7494  6 Al 2.68-2.85
Al7 0.6746 0.8373 0.2504  6 Al 2.70-2.83
Al8 0.5052 0.4948 0.7494  6 Al 2.68-2.85
Er1 0.6667 0.3333 0.0704  12 Al 3.19-3.26, 4 Er 3.28-3.42
Er2 0.6667 0.3333 0.4391  12 Al 3.16-3.24, 1 Er 3.28, 3 Mg 3.37
Er3 0.0000 0.0000 0.9330  12 Al 3.21-3.24, 1 Mg 3.32, 3 Er 3.42
Mg1 0.0000 0.0000 0.5593  12 Al 3.16-3.24, 4 Er 3.32-3.37

A plane-wave DFT calculation with PBE was carried out for a geometry-optimized Er2MgAl2 structure.

a = 3.5191 Å, b = 4.4519 Å, c = 7.7705 Å
α = 106.65°, β = 90.00°, γ = 90.00°
With the nearest neighbours (Å) after each atom.
Element x y z (fractional)
Al1 0.0000 0.2023 0.4045  2 Al 2.64
Al2 0.0000 0.7977 0.5955  2 Al 2.64
Er1 0.5000 0.6233 0.2466  6 Al 3.07-3.14, 4 Mg 3.38
Er2 0.5000 0.3767 0.7534  6 Al 3.07-3.14, 4 Mg 3.38
Mg1 0.0000 0.0000 0.0000  2 Al 3.01

A plane-wave DFT calculation with PBE was carried out for a geometry-optimized Er4Mg3Al structure.

Energy above the most stable polymorph in this dataset   0.0 meV/atom

a = 5.2430 Å, b = 5.2430 Å, c = 9.0870 Å
α = 73.23°, β = 73.23°, γ = 60.00°
With the nearest neighbours (Å) after each atom.
Element x y z (fractional)
Er1 0.1216 0.1216 0.6351  1 Al 3.13, 7 Mg 3.16-3.24
Er2 0.6281 0.6281 0.1158  3 Al 3.19, 5 Mg 3.21-3.29
Er3 0.3719 0.3719 0.8842  3 Al 3.19, 5 Mg 3.21-3.29
Er4 0.8784 0.8784 0.3649  1 Al 3.13, 7 Mg 3.16-3.24
Mg1 0.2470 0.2470 0.2589  8 Er 3.16-3.27
Mg2 0.5000 0.5000 0.5000  8 Er 3.24-3.29
Mg3 0.7530 0.7530 0.7411  8 Er 3.16-3.27
Al1 0.0000 0.0000 0.0000  8 Er 3.13-3.19

A plane-wave DFT calculation with PBE was carried out for a geometry-optimized NdErMgAl structure.

a = 5.2600 Å, b = 5.2600 Å, c = 5.2600 Å
α = 60.00°, β = 60.00°, γ = 60.00°
With the nearest neighbours (Å) after each atom.
Element x y z (fractional)
Mg1 0.0000 0.0000 0.0000  4 Nd 3.22, 4 Er 3.22
Er1 0.2500 0.2500 0.2500  4 Al 3.22, 4 Mg 3.22
Nd1 0.7500 0.7500 0.7500  4 Mg 3.22, 4 Al 3.22
Al1 0.5000 0.5000 0.5000  4 Nd 3.22, 4 Er 3.22

A plane-wave DFT calculation with PBE was carried out for a geometry-optimized ErMgAlPb structure.

a = 5.1812 Å, b = 5.1812 Å, c = 5.1812 Å
α = 60.00°, β = 60.00°, γ = 60.00°
With the nearest neighbours (Å) after each atom.
Element x y z (fractional)
Mg1 0.0000 0.0000 0.0000  4 Pb 3.17, 4 Al 3.17
Al1 0.7500 0.7500 0.7500  4 Mg 3.17, 4 Er 3.17
Er1 0.5000 0.5000 0.5000  4 Al 3.17, 4 Pb 3.17
Pb1 0.2500 0.2500 0.2500  4 Er 3.17, 4 Mg 3.17

A plane-wave DFT calculation with PBE was carried out for a geometry-optimized ErMgAl2Pd4 structure.

a = 4.4371 Å, b = 4.4371 Å, c = 8.2726 Å
α = 74.44°, β = 74.44°, γ = 60.00°
With the nearest neighbours (Å) after each atom.
Element x y z (fractional)
Pd1 0.1258 0.1258 0.6225  4 Al 2.69-2.76, 3 Mg 2.74, 1 Er 2.97
Pd2 0.3900 0.3900 0.8301  1 Mg 2.60, 3 Al 2.68, 3 Er 2.89
Pd3 0.6100 0.6100 0.1699  1 Mg 2.60, 3 Al 2.68, 3 Er 2.89
Pd4 0.8742 0.8742 0.3775  4 Al 2.69-2.76, 3 Mg 2.74, 1 Er 2.97
Mg1 0.5000 0.5000 0.5000  8 Pd 2.60-2.74
Al1 0.7573 0.7573 0.7282  7 Pd 2.68-2.76
Al2 0.2427 0.2427 0.2718  7 Pd 2.68-2.76
Er1 0.0000 0.0000 0.0000  8 Pd 2.89-2.97

A plane-wave DFT calculation with PBE was carried out for a geometry-optimized ErMg2AlPd4 structure.

a = 4.5722 Å, b = 4.5722 Å, c = 7.9680 Å
α = 73.33°, β = 73.33°, γ = 60.00°
With the nearest neighbours (Å) after each atom.
Element x y z (fractional)
Al1 0.5000 0.5000 0.5000  8 Pd 2.57-2.77
Mg1 0.2469 0.2469 0.2592  7 Pd 2.66-2.81
Mg2 0.7531 0.7531 0.7408  7 Pd 2.66-2.81
Pd1 0.3862 0.3862 0.8414  1 Al 2.57, 3 Mg 2.75
Pd2 0.8711 0.8711 0.3868  4 Mg 2.66-2.81, 3 Al 2.77, 1 Er 2.91
Pd3 0.1289 0.1289 0.6132  4 Mg 2.66-2.81, 3 Al 2.77, 1 Er 2.91
Pd4 0.6138 0.6138 0.1586  1 Al 2.57, 3 Mg 2.75
Er1 0.0000 0.0000 0.0000  8 Pd 2.90-2.91

A plane-wave DFT calculation with PBE was carried out for a geometry-optimized ErMgAlPt structure.

a = 4.7118 Å, b = 4.7118 Å, c = 4.7118 Å
α = 60.00°, β = 60.00°, γ = 60.00°
With the nearest neighbours (Å) after each atom.
Element x y z (fractional)
Er1 0.5000 0.5000 0.5000  4 Mg 2.89, 4 Pt 2.89
Mg1 0.7500 0.7500 0.7500  4 Er 2.89, 4 Al 2.89
Pt1 0.2500 0.2500 0.2500  4 Er 2.89, 4 Al 2.89
Al1 0.0000 0.0000 0.0000  4 Pt 2.89, 4 Mg 2.89

Ordered energy relative to the elements results: -252; -7; -134; -17; -381; -335; -163; -260; -91; -838; -810; -697; unit meV/atom.